The following is a PBE-GGA calculation of a relaxed CaIn2Ni crystal, from Alexandria.

a b c (Å): 3.315 3.315 7.764
angles (deg): 90.00 90.00 90.00
Space group P4/mmm (No. 123)
Inequivalent atoms, fractional coordinates:
Ca 0.000 0.000 0.000
In 0.500 0.500 0.306
Ni 0.000 0.000 0.500

* uncorrected energy: -14.2 eV per cell

=====

The following is a PBE-GGA calculation of a relaxed AcTlSeO4 crystal, from Alexandria.

a b c (Å): 9.758 9.758 9.758
angles (deg): 90.00 90.00 90.00
Space group F-43m (No. 216)
Inequivalent atoms, fractional coordinates:
Ac 0.000 0.000 0.000
Tl 0.250 0.250 0.750
Se 0.250 0.250 0.250
O 0.138 0.138 0.138

* raw formation energy: -1.19 eV/atom

=====

The following is a PBE-GGA calculation of a relaxed TbNiGe2Ru crystal, from Alexandria.

a b c (Å): 4.041 4.041 10.479
angles (deg): 90.00 90.00 90.00
Space group I-4m2 (No. 119)
Inequivalent atoms, fractional coordinates:
Tb 0.000 0.000 0.000
Ni 0.000 0.500 0.250
Ge 0.000 0.000 0.377
Ru 0.000 0.500 0.750

* uncorrected energy: -64.3 eV per cell